Entry 1:
{
  "formula": "Sm7Tl3Cd",
  "functional": "PBE",
  "state": "optimized geometry",
  "cell": [[5.753, -5.874, 0.000], [5.753, 5.874, 0.000], [-3.020, 0.000, 5.073]],
  "species": ["Sm", "Sm", "Sm", "Sm", "Sm", "Sm", "Sm", "Tl", "Tl", "Tl", "Cd"],
  "fractional_positions": [[0.000, 0.000, 0.000], [0.098, 0.552, 0.325], [0.318, 0.318, 0.819], [0.448, 0.902, 0.675], [0.552, 0.098, 0.325], [0.682, 0.682, 0.181], [0.902, 0.448, 0.675], [0.267, 0.733, 0.000], [0.500, 0.500, 0.500], [0.733, 0.267, 0.000], [0.000, 0.000, 0.500]],
  "rho_g_cm3": 8.61,
  "formation_energy_ev_per_atom": -0.110
}

---

Entry 2:
{
  "formula": "Li3Cd5I12",
  "functional": "PBE",
  "state": "optimized geometry",
  "cell": [[-9.280, 9.280, 9.280], [9.280, -9.280, 9.280], [9.280, 9.280, -9.280]],
  "species": ["Li", "Li", "Li", "Li", "Li", "Li", "Li", "Li", "Li", "Li", "Li", "Li", "Cd", "Cd", "Cd", "Cd", "Cd", "Cd", "Cd", "Cd", "Cd", "Cd", "Cd", "Cd", "Cd", "Cd", "Cd", "Cd", "Cd", "Cd", "Cd", "Cd", "I", "I", "I", "I", "I", "I", "I", "I", "I", "I", "I", "I", "I", "I", "I", "I", "I", "I", "I", "I", "I", "I", "I", "I", "I", "I", "I", "I", "I", "I", "I", "I", "I", "I", "I", "I", "I", "I", "I", "I", "I", "I", "I", "I", "I", "I", "I", "I"],
  "fractional_positions": [[0.125, 0.250, 0.375], [0.125, 0.375, 0.750], [0.250, 0.375, 0.125], [0.250, 0.875, 0.625], [0.375, 0.125, 0.250], [0.375, 0.750, 0.125], [0.625, 0.250, 0.875], [0.625, 0.875, 0.750], [0.750, 0.125, 0.375], [0.750, 0.625, 0.875], [0.875, 0.625, 0.250], [0.875, 0.750, 0.625], [0.000, 0.000, 0.000], [0.000, 0.000, 0.500], [0.000, 0.500, 0.000], [0.000, 0.500, 0.500], [0.125, 0.750, 0.875], [0.125, 0.875, 0.250], [0.250, 0.125, 0.875], [0.250, 0.625, 0.375], [0.375, 0.250, 0.625], [0.375, 0.625, 0.750], [0.500, 0.000, 0.000], [0.500, 0.000, 0.500], [0.500, 0.500, 0.000], [0.500, 0.500, 0.500], [0.625, 0.375, 0.250], [0.625, 0.750, 0.375], [0.750, 0.375, 0.625], [0.750, 0.875, 0.125], [0.875, 0.125, 0.750], [0.875, 0.250, 0.125], [0.038, 0.216, 0.128], [0.038, 0.322, 0.910], [0.087, 0.716, 0.678], [0.087, 0.872, 0.410], [0.090, 0.628, 0.413], [0.090, 0.962, 0.678], [0.128, 0.038, 0.216], [0.128, 0.590, 0.913], [0.178, 0.216, 0.587], [0.178, 0.462, 0.590], [0.216, 0.128, 0.038], [0.216, 0.587, 0.178], [0.284, 0.322, 0.913], [0.284, 0.462, 0.372], [0.322, 0.910, 0.038], [0.322, 0.913, 0.284], [0.372, 0.284, 0.462], [0.372, 0.587, 0.910], [0.410, 0.087, 0.872], [0.410, 0.822, 0.538], [0.413, 0.090, 0.628], [0.413, 0.822, 0.784], [0.462, 0.372, 0.284], [0.462, 0.590, 0.178], [0.538, 0.410, 0.822], [0.538, 0.628, 0.716], [0.587, 0.178, 0.216], [0.587, 0.910, 0.372], [0.590, 0.178, 0.462], [0.590, 0.913, 0.128], [0.628, 0.413, 0.090], [0.628, 0.716, 0.538], [0.678, 0.087, 0.716], [0.678, 0.090, 0.962], [0.716, 0.538, 0.628], [0.716, 0.678, 0.087], [0.784, 0.413, 0.822], [0.784, 0.872, 0.962], [0.822, 0.538, 0.410], [0.822, 0.784, 0.413], [0.872, 0.410, 0.087], [0.872, 0.962, 0.784], [0.910, 0.038, 0.322], [0.910, 0.372, 0.587], [0.913, 0.128, 0.590], [0.913, 0.284, 0.322], [0.962, 0.678, 0.090], [0.962, 0.784, 0.872]],
  "rho_g_cm3": 4.37,
  "formation_energy_uncorrected_ev_per_atom": -0.61
}

---

Entry 3:
{
  "formula": "NdMg3In4",
  "functional": "PBE",
  "state": "optimized geometry",
  "cell": [[4.832, 0.000, 0.000], [0.000, 4.832, 0.000], [0.000, 0.000, 8.416]],
  "species": ["Nd", "Mg", "Mg", "Mg", "In", "In", "In", "In"],
  "fractional_positions": [[0.000, 0.000, 0.000], [0.000, 0.000, 0.500], [0.500, 0.500, 0.000], [0.500, 0.500, 0.500], [0.000, 0.500, 0.266], [0.000, 0.500, 0.734], [0.500, 0.000, 0.266], [0.500, 0.000, 0.734]],
  "rho_g_cm3": 5.72,
  "formation_energy_ev_per_atom": -0.232
}

---

Entry 4:
{
  "formula": "Co2As2Pd",
  "functional": "PBE",
  "state": "optimized geometry",
  "cell": [[6.859, 0.000, 0.000], [0.000, 6.859, 0.000], [0.000, 0.000, 2.874]],
  "species": ["Co", "Co", "Co", "Co", "As", "As", "As", "As", "Pd", "Pd"],
  "fractional_positions": [[0.136, 0.364, 0.000], [0.364, 0.864, 0.000], [0.636, 0.136, 0.000], [0.864, 0.636, 0.000], [0.154, 0.654, 0.500], [0.346, 0.154, 0.500], [0.654, 0.846, 0.500], [0.846, 0.346, 0.500], [0.000, 0.000, 0.500], [0.500, 0.500, 0.500]],
  "rho_g_cm3": 9.19,
  "de_polymorph_ev_per_atom": 0.000,
  "formation_energy_ev_per_atom": -0.108
}

---

Entry 5:
{
  "formula": "Dy2ErPuN4",
  "functional": "PBE",
  "state": "optimized geometry",
  "cell": [[5.979, 0.000, 0.000], [0.000, 3.468, 0.000], [-1.983, 0.000, 5.642]],
  "species": ["Dy", "Dy", "Er", "Pu", "N", "N", "N", "N"],
  "fractional_positions": [[0.000, 0.000, 0.000], [0.500, 0.500, 0.000], [0.000, 0.500, 0.500], [0.500, 0.000, 0.500], [0.251, 0.000, 0.744], [0.255, 0.500, 0.257], [0.745, 0.500, 0.743], [0.749, 0.000, 0.256]],
  "rho_g_cm3": 11.25,
  "formation_energy_uncorrected_ev_per_atom": -1.60
}

---

Entry 6:
{
  "formula": "Pm2Cu2Pd3",
  "functional": "PBE",
  "state": "optimized geometry",
  "cell": [[2.029, -9.373, 0.000], [2.029, 9.373, 0.000], [0.000, 0.000, 7.301]],
  "species": ["Pm", "Pm", "Pm", "Pm", "Cu", "Cu", "Cu", "Cu", "Pd", "Pd", "Pd", "Pd", "Pd", "Pd"],
  "fractional_positions": [[0.062, 0.938, 0.750], [0.160, 0.840, 0.250], [0.840, 0.160, 0.750], [0.938, 0.062, 0.250], [0.302, 0.698, 0.045], [0.302, 0.698, 0.455], [0.698, 0.302, 0.545], [0.698, 0.302, 0.955], [0.219, 0.781, 0.750], [0.434, 0.566, 0.563], [0.434, 0.566, 0.937], [0.566, 0.434, 0.063], [0.566, 0.434, 0.437], [0.781, 0.219, 0.250]],
  "rho_g_cm3": 8.81,
  "formation_energy_ev_per_atom": -0.548
}

---

Entry 7:
{
  "formula": "Rb2La2Ni",
  "functional": "PBE",
  "state": "optimized geometry",
  "cell": [[5.512, 0.000, 0.000], [0.000, 5.512, 0.000], [0.000, 0.000, 7.440]],
  "species": ["Rb", "Rb", "La", "La", "Ni"],
  "fractional_positions": [[0.000, 0.000, 0.000], [0.500, 0.500, 0.000], [0.000, 0.500, 0.500], [0.500, 0.000, 0.500], [0.000, 0.000, 0.500]],
  "rho_g_cm3": 3.73,
  "formation_energy_ev_per_atom": 0.259
}

---

Entry 8:
{
  "formula": "K2RbCeF8",
  "functional": "PBE",
  "state": "optimized geometry",
  "cell": [[-3.044, 3.044, 6.201], [3.044, -3.044, 6.201], [3.044, 3.044, -6.201]],
  "species": ["K", "K", "Rb", "Ce", "F", "F", "F", "F", "F", "F", "F", "F"],
  "fractional_positions": [[0.000, 0.000, 0.000], [0.750, 0.250, 0.500], [0.500, 0.500, 0.000], [0.250, 0.750, 0.500], [0.136, 0.070, 0.492], [0.136, 0.644, 0.067], [0.356, 0.422, 0.492], [0.356, 0.864, 0.933], [0.578, 0.070, 0.933], [0.578, 0.644, 0.508], [0.930, 0.422, 0.067], [0.930, 0.864, 0.508]],
  "rho_g_cm3": 3.29,
  "formation_energy_uncorrected_ev_per_atom": -3.00
}